1.
Below is a crystal of RbW6O18 relaxed with PBEsol, with properties calculated at the meta-GGA SCAN level.

Output
Energy above the most stable polymorph in this dataset (meV/atom): 0.0
DOS(E_F) (states/eV per cell): 5.229
Magnetic moment (μB/atom): 0.000
Space-group type: Pnnm, No. 58

a b c (Å): 7.4131 7.5872 12.8664
angles (deg): 90.00 90.00 90.00
Closest atoms and distances in Å follow each position.
Element x y z (fractional)
O: 0.0000 0.5000 0.5000  2 W 1.91
O: 0.3167 0.2467 0.1081  2 W 1.85-2.00
O: 0.7651 0.5023 0.7529  2 W 1.87-1.94
O: 0.2349 0.4977 0.7529  2 W 1.87-1.94
O: 0.5000 0.0000 0.0000  2 W 1.91
O: 0.3202 0.7516 0.8955  2 W 1.85-2.00
O: 0.2651 0.9977 0.2529  2 W 1.87-1.94
O: 0.5034 0.2672 0.2872  2 W 1.85-1.99
O: 0.0034 0.2328 0.2128  2 W 1.85-1.99
O: 0.4966 0.7328 0.7128  2 W 1.85-1.99
O: 0.3202 0.7516 0.1045  2 W 1.85-2.00
O: 0.7651 0.5023 0.2471  2 W 1.87-1.94
O: 0.1833 0.7467 0.6081  2 W 1.85-2.00
O: 0.1833 0.7467 0.3919  2 W 1.85-2.00
O: 0.8202 0.7484 0.6045  2 W 1.85-2.00
O: 0.2651 0.9977 0.7471  2 W 1.87-1.94
O: 0.6798 0.2484 0.1045  2 W 1.85-2.00
O: 0.6798 0.2484 0.8955  2 W 1.85-2.00
O: 0.8167 0.2533 0.6081  2 W 1.85-2.00
O: 0.9966 0.7672 0.2128  2 W 1.85-1.99
O: 0.5000 0.5000 0.0000  2 W 1.90
O: 0.8167 0.2533 0.3919  2 W 1.85-2.00
O: 0.2349 0.4977 0.2471  2 W 1.87-1.94
O: 0.6833 0.7533 0.1081  2 W 1.85-2.00
O: 0.8202 0.7484 0.3955  2 W 1.85-2.00
O: 0.7349 0.0023 0.2529  2 W 1.87-1.94
O: 0.9966 0.7672 0.7872  2 W 1.85-1.99
O: 0.0034 0.2328 0.7872  2 W 1.85-1.99
O: 0.3167 0.2467 0.8919  2 W 1.85-2.00
O: 0.4966 0.7328 0.2872  2 W 1.85-1.99
O: 0.0000 0.0000 0.5000  2 W 1.90
O: 0.5034 0.2672 0.7128  2 W 1.85-1.99
O: 0.1798 0.2516 0.6045  2 W 1.85-2.00
O: 0.6833 0.7533 0.8919  2 W 1.85-2.00
O: 0.7349 0.0023 0.7471  2 W 1.87-1.94
O: 0.1798 0.2516 0.3955  2 W 1.85-2.00
W: 0.0194 0.7504 0.5000  6 O 1.85-2.00
W: 0.7596 0.2560 0.7597  6 O 1.85-2.00
W: 0.7596 0.2560 0.2403  6 O 1.85-2.00
W: 0.4806 0.2504 0.0000  6 O 1.85-2.00
W: 0.2404 0.7440 0.2403  6 O 1.85-2.00
W: 0.2596 0.2440 0.7403  6 O 1.85-2.00
W: 0.2404 0.7440 0.7597  6 O 1.85-2.00
W: 0.2596 0.2440 0.2597  6 O 1.85-2.00
W: 0.9806 0.2496 0.5000  6 O 1.85-2.00
W: 0.7404 0.7560 0.2597  6 O 1.85-2.00
W: 0.7404 0.7560 0.7403  6 O 1.85-2.00
W: 0.5194 0.7496 0.0000  6 O 1.85-2.00
Rb: 0.0000 0.0000 0.0000  12 O 3.26-3.32
Rb: 0.5000 0.5000 0.5000  12 O 3.26-3.32

---

2.
Below is a crystal of Li3V4P9O32 relaxed with PBEsol, with properties calculated at the meta-GGA SCAN level.

Output
Magnetic moment (μB/atom): 0.083
Space-group type: P-42_1c, No. 114
DFT total energy (eV/atom): -10.2156

a b c (Å): 6.1734 14.3961 14.3961
angles (deg): 90.00 90.00 90.00
Closest atoms and distances in Å follow each position.
Element x y z (fractional)
O: 0.2091 0.7058 0.9079  2 P 1.60-1.62
O: 0.9376 0.5010 0.0975  1 P 1.50
O: 0.8622 0.7429 0.2517  1 P 1.51
O: 0.1015 0.5637 0.7520  1 P 1.54
O: 0.3985 0.0637 0.7480  1 P 1.54
O: 0.8399 0.6525 0.6390  1 P 1.53
O: 0.5624 0.0010 0.4025  1 P 1.50
O: 0.5502 0.6635 0.3712  1 P 1.52
O: 0.7909 0.9079 0.2942  2 P 1.60-1.62
O: 0.5624 0.9990 0.5975  1 P 1.50
O: 0.3392 0.0559 0.9397  1 P 1.54
O: 0.6608 0.9397 0.9441  1 P 1.54
O: 0.6015 0.7480 0.9363  1 P 1.54
O: 0.1608 0.5559 0.5603  1 P 1.54
O: 0.2091 0.2942 0.0921  2 P 1.60-1.62
O: 0.9376 0.4990 0.9025  1 P 1.50
O: 0.1015 0.4363 0.2480  1 P 1.54
O: 0.0502 0.8712 0.1635  1 P 1.52
O: 0.5502 0.3365 0.6288  1 P 1.52
O: 0.1378 0.7483 0.7429  1 P 1.51
O: 0.1601 0.6390 0.3475  1 P 1.53
O: 0.3622 0.2483 0.7571  1 P 1.51
O: 0.3257 0.2437 0.9351  1 P 1.54
O: 0.6378 0.7571 0.7517  1 P 1.51
O: 0.1608 0.4441 0.4397  1 P 1.54
O: 0.4498 0.3712 0.3365  1 P 1.52
O: 0.4376 0.4025 0.9990  1 P 1.50
O: 0.9498 0.8365 0.8712  1 P 1.52
O: 0.7909 0.0921 0.7058  2 P 1.60-1.62
O: 0.8399 0.3475 0.3610  1 P 1.53
O: 0.6378 0.2429 0.2483  1 P 1.51
O: 0.8392 0.5603 0.4441  1 P 1.54
O: 0.2909 0.7942 0.4079  2 P 1.60-1.62
O: 0.0624 0.9025 0.5010  1 P 1.50
O: 0.8985 0.2480 0.5637  1 P 1.54
O: 0.3622 0.7517 0.2429  1 P 1.51
O: 0.1743 0.2563 0.4351  1 P 1.54
O: 0.8985 0.7520 0.4363  1 P 1.54
O: 0.6601 0.8475 0.1390  1 P 1.53
O: 0.0624 0.0975 0.4990  1 P 1.50
O: 0.1601 0.3610 0.6525  1 P 1.53
O: 0.6601 0.1525 0.8610  1 P 1.53
O: 0.3257 0.7563 0.0649  1 P 1.54
O: 0.8257 0.5649 0.2563  1 P 1.54
O: 0.6608 0.0603 0.0559  1 P 1.54
O: 0.6743 0.0649 0.2437  1 P 1.54
O: 0.8622 0.2571 0.7483  1 P 1.51
O: 0.1743 0.7437 0.5649  1 P 1.54
O: 0.2909 0.2058 0.5921  2 P 1.60-1.62
O: 0.8257 0.4351 0.7437  1 P 1.54
O: 0.0502 0.1288 0.8365  1 P 1.52
O: 0.3392 0.9441 0.0603  1 P 1.54
O: 0.3985 0.9363 0.2520  1 P 1.54
O: 0.6743 0.9351 0.7563  1 P 1.54
O: 0.7091 0.5921 0.7942  2 P 1.60-1.62
O: 0.4376 0.5975 0.0010  1 P 1.50
O: 0.3399 0.8610 0.8475  1 P 1.53
O: 0.3399 0.1390 0.1525  1 P 1.53
O: 0.9498 0.1635 0.1288  1 P 1.52
O: 0.1378 0.2517 0.2571  1 P 1.51
O: 0.8392 0.4397 0.5559  1 P 1.54
O: 0.6015 0.2520 0.0637  1 P 1.54
O: 0.7091 0.4079 0.2058  2 P 1.60-1.62
O: 0.4498 0.6288 0.6635  1 P 1.52
P: 0.5931 0.9817 0.3012  4 O 1.50-1.62
P: 0.6575 0.3386 0.2900  4 O 1.51-1.60
P: 0.1575 0.2100 0.1614  4 O 1.51-1.60
P: 0.6575 0.6614 0.7100  4 O 1.51-1.60
P: 0.9069 0.4817 0.1988  4 O 1.50-1.62
P: 0.5000 0.0000 0.0000  4 O 1.54
P: 0.8425 0.8386 0.2100  4 O 1.51-1.60
P: 0.3425 0.2900 0.6614  4 O 1.51-1.60
P: 0.3425 0.7100 0.3386  4 O 1.51-1.60
P: 0.8425 0.1614 0.7900  4 O 1.51-1.60
P: 0.5931 0.0183 0.6988  4 O 1.50-1.62
P: 0.1575 0.7900 0.8386  4 O 1.51-1.60
P: 0.9069 0.5183 0.8012  4 O 1.50-1.62
P: 0.4069 0.3012 0.0183  4 O 1.50-1.62
P: 0.4069 0.6988 0.9817  4 O 1.50-1.62
P: 0.0931 0.1988 0.5183  4 O 1.50-1.62
P: 0.0000 0.5000 0.5000  4 O 1.54
P: 0.0931 0.8012 0.4817  4 O 1.50-1.62
Li: 0.1842 0.5000 0.0000  4 O 2.07-2.10
Li: 0.3158 0.0000 0.5000  4 O 2.07-2.10
Li: 0.8158 0.0000 0.5000  4 O 2.07-2.10
Li: 0.0000 0.0000 0.0000  4 O 2.41
Li: 0.5000 0.5000 0.5000  4 O 2.41
Li: 0.6842 0.5000 0.0000  4 O 2.07-2.10
V: 0.8530 0.3465 0.6505  6 O 1.86-1.91
V: 0.6470 0.8465 0.8495  6 O 1.86-1.91
V: 0.8530 0.6535 0.3495  6 O 1.86-1.91
V: 0.3530 0.8495 0.1535  6 O 1.86-1.91
V: 0.1470 0.3495 0.3465  6 O 1.86-1.91
V: 0.1470 0.6505 0.6535  6 O 1.86-1.91
V: 0.3530 0.1505 0.8465  6 O 1.86-1.91
V: 0.6470 0.1535 0.1505  6 O 1.86-1.91

---

3.
Below is a crystal of RuRh relaxed with PBEsol, with properties calculated at the meta-GGA SCAN level.

Output
DOS(E_F) (states/eV per cell): 3.728
Magnetic moment (μB/atom): 0.000
Space-group type: Cmcm, No. 63
Energy of formation (meV per atom): 169

a b c (Å): 2.6394 4.1353 5.1359
angles (deg): 90.00 104.89 90.00
Closest atoms and distances in Å follow each position.
Element x y z (fractional)
Ru: 0.8269 0.7500 0.6537  7 Rh 2.53-2.77, 2 Ru 2.64
Ru: 0.1731 0.2500 0.3463  7 Rh 2.53-2.77, 2 Ru 2.64
Rh: 0.4279 0.2500 0.8557  4 Rh 2.52-2.64, 7 Ru 2.53-2.77
Rh: 0.5721 0.7500 0.1443  4 Rh 2.52-2.64, 7 Ru 2.53-2.77

---

4.
Below is a crystal of YZrAs2 relaxed with PBEsol, with properties calculated at the meta-GGA SCAN level.

Output
Energy above the most stable polymorph in this dataset (meV/atom): 276.9
DOS(E_F) (states/eV per cell): 2.215
Magnetic moment (μB/atom): 0.185
Space-group type: Imm2, No. 44
Energy of formation (meV per atom): -1221

a b c (Å): 3.5974 3.6672 7.1375
angles (deg): 104.89 104.60 90.00
Closest atoms and distances in Å follow each position.
Element x y z (fractional)
Y: 0.5446 0.5446 0.0893  6 As 2.88-2.90
As: 0.9467 0.9467 0.8934  2 Zr 2.70, 4 Y 2.88
As: 0.7133 0.2133 0.4266  4 Zr 2.79, 2 Y 2.90
Zr: 0.2954 0.7954 0.5908  6 As 2.70-2.79

---

5.
Below is a crystal of LiTmGe relaxed with PBEsol, with properties calculated at the meta-GGA SCAN level.

Output
DOS(E_F) (states/eV per cell): 0.588
Magnetic moment (μB/atom): 0.000
Space-group type: P-62m, No. 189
Energy of formation (meV per atom): -752

a b c (Å): 4.1779 6.8607 6.8607
angles (deg): 120.00 90.00 90.00
Closest atoms and distances in Å follow each position.
Element x y z (fractional)
Tm: 0.0000 0.4284 0.0000  5 Ge 2.92-2.94, 2 Li 3.13
Tm: 0.0000 0.0000 0.4284  5 Ge 2.92-2.94, 2 Li 3.13
Tm: 0.0000 0.5716 0.5716  5 Ge 2.92-2.94, 2 Li 3.13
Ge: 0.5000 0.3333 0.6667  3 Li 2.70, 6 Tm 2.92
Ge: 0.5000 0.6667 0.3333  3 Li 2.70, 6 Tm 2.92
Ge: 0.0000 0.0000 0.0000  6 Li 2.63, 3 Tm 2.94
Li: 0.5000 0.7673 0.0000  4 Ge 2.63-2.70, 2 Li 2.76
Li: 0.5000 0.0000 0.7673  4 Ge 2.63-2.70, 2 Li 2.76
Li: 0.5000 0.2327 0.2327  4 Ge 2.63-2.70, 2 Li 2.76

---

6.
Below is a crystal of ErAl3 relaxed with PBEsol, with properties calculated at the meta-GGA SCAN level.

Output
DOS(E_F) (states/eV per cell): 3.186
Magnetic moment (μB/atom): 0.024
Space-group type: P6_3/mmc, No. 194
Energy of formation (meV per atom): -440

a b c (Å): 4.6017 6.1222 6.1222
angles (deg): 120.00 90.00 90.00
Closest atoms and distances in Å follow each position.
Element x y z (fractional)
Al: 0.7500 0.8496 0.1504  6 Al 2.76-2.80, 4 Er 3.01-3.07
Al: 0.7500 0.8496 0.6992  6 Al 2.76-2.80, 4 Er 3.01-3.07
Al: 0.7500 0.3008 0.1504  6 Al 2.76-2.80, 4 Er 3.01-3.07
Al: 0.2500 0.6992 0.8496  6 Al 2.76-2.80, 4 Er 3.01-3.07
Al: 0.2500 0.1504 0.8496  6 Al 2.76-2.80, 4 Er 3.01-3.07
Al: 0.2500 0.1504 0.3008  6 Al 2.76-2.80, 4 Er 3.01-3.07
Er: 0.7500 0.3333 0.6667  12 Al 3.01-3.07
Er: 0.2500 0.6667 0.3333  12 Al 3.01-3.07

---

7.
Below is a crystal of KAgBr2 relaxed with PBEsol, with properties calculated at the meta-GGA SCAN level.

Output
DOS(E_F) (states/eV per cell): 0.000
Magnetic moment (μB/atom): 0.000
Space-group type: Fm-3m, No. 225
DFT total energy (eV/atom): -20.6459

a b c (Å): 5.1987 5.1987 5.1987
angles (deg): 60.00 60.00 60.00
Closest atoms and distances in Å follow each position.
Element x y z (fractional)
Ag: 0.0000 0.0000 0.0000  8 Br 3.18
K: 0.5000 0.5000 0.5000  8 Br 3.18
Br: 0.7500 0.7500 0.7500  4 K 3.18, 4 Ag 3.18
Br: 0.2500 0.2500 0.2500  4 K 3.18, 4 Ag 3.18

---

8.
Below is a crystal of ZrScHg2 relaxed with PBEsol, with properties calculated at the meta-GGA SCAN level.

Output
Energy above the most stable polymorph in this dataset (meV/atom): 142.5
DOS(E_F) (states/eV per cell): 1.245
Magnetic moment (μB/atom): 0.000
Space-group type: P4mm, No. 99
Energy of formation (meV per atom): -349

a b c (Å): 3.5955 3.5955 6.4913
angles (deg): 90.00 90.00 90.00
Closest atoms and distances in Å follow each position.
Element x y z (fractional)
Sc: 0.0000 0.0000 0.4850  5 Hg 2.94-3.17, 4 Zr 3.11
Hg: 0.5000 0.5000 0.2570  4 Sc 2.94, 4 Hg 3.06, 2 Zr 3.21-3.28
Hg: 0.0000 0.0000 0.9960  4 Zr 2.96, 4 Hg 3.06, 1 Sc 3.17
Zr: 0.5000 0.5000 0.7621  6 Hg 2.96-3.28, 4 Sc 3.11

---

9.
Below is a crystal of ZnTc3Pd relaxed with PBEsol, with properties calculated at the meta-GGA SCAN level.

Output
Energy above the most stable polymorph in this dataset (meV/atom): 0.0
DOS(E_F) (states/eV per cell): 5.545
Magnetic moment (μB/atom): 0.000
Space-group type: Pm-3m, No. 221
Energy of formation (meV per atom): 1797

a b c (Å): 4.3798 4.3798 4.3798
angles (deg): 90.00 90.00 90.00
Closest atoms and distances in Å follow each position.
Element x y z (fractional)
Pd: 0.5000 0.5000 0.5000  12 Tc 3.10
Tc: 0.0000 0.5000 0.0000  2 Zn 2.19
Tc: 0.0000 0.0000 0.5000  2 Zn 2.19
Tc: 0.5000 0.0000 0.0000  2 Zn 2.19
Zn: 0.0000 0.0000 0.0000  6 Tc 2.19

---

10.
Below is a crystal of Be4MoAs relaxed with PBEsol, with properties calculated at the meta-GGA SCAN level.

Output
DOS(E_F) (states/eV per cell): 2.048
Magnetic moment (μB/atom): 0.000
Space-group type: F-43m, No. 216
Energy of formation (meV per atom): 32

a b c (Å): 4.4342 4.4342 4.4342
angles (deg): 60.00 60.00 60.00
Closest atoms and distances in Å follow each position.
Element x y z (fractional)
Be: 0.8663 0.3779 0.3779  6 Be 2.17-2.27
Be: 0.3779 0.3779 0.8663  6 Be 2.17-2.27
Be: 0.3779 0.8663 0.3779  6 Be 2.17-2.27
Be: 0.3779 0.3779 0.3779  6 Be 2.17-2.27
Mo: 0.7500 0.7500 0.7500  12 Be 2.59, 4 As 2.72
As: 0.0000 0.0000 0.0000  12 Be 2.61, 4 Mo 2.72

---

11.
Below is a crystal of CrCdMo2 relaxed with PBEsol, with properties calculated at the meta-GGA SCAN level.

Output
DOS(E_F) (states/eV per cell): 2.884
Magnetic moment (μB/atom): 0.000
Space-group type: Cm, No. 8
Energy of formation (meV per atom): 584

a b c (Å): 2.6027 4.7975 5.0970
angles (deg): 95.12 90.00 105.74
Closest atoms and distances in Å follow each position.
Element x y z (fractional)
Cd: 0.4978 0.9955 0.4937  2 Cd 2.60, 3 Cr 2.76-2.82, 7 Mo 2.78-2.90
Mo: 0.0031 0.0062 0.0035  5 Mo 2.60-2.87, 3 Cr 2.73-2.82, 4 Cd 2.82-2.90
Mo: 0.2480 0.4960 0.7579  5 Mo 2.60-2.87, 3 Cd 2.78-2.88, 2 Cr 2.80
Cr: 0.7511 0.5023 0.2449  2 Cr 2.60, 5 Mo 2.73-2.82, 3 Cd 2.76-2.82

---

12.
Below is a crystal of Cr2ReW relaxed with PBEsol, with properties calculated at the meta-GGA SCAN level.

Output
DOS(E_F) (states/eV per cell): 3.229
Magnetic moment (μB/atom): 0.000
Space-group type: C2/m, No. 12
Energy of formation (meV per atom): 49

a b c (Å): 2.6229 4.9005 4.9005
angles (deg): 115.40 100.52 100.52
Closest atoms and distances in Å follow each position.
Element x y z (fractional)
Cr: 0.0000 0.5000 0.0000  2 Re 2.56, 2 W 2.56, 4 Cr 2.62
Cr: 0.0000 0.0000 0.5000  2 W 2.56, 2 Re 2.56, 4 Cr 2.62
W: 0.5000 0.5000 0.5000  4 Cr 2.56, 2 Re 2.62, 2 W 2.62
Re: 0.5000 0.0000 0.0000  4 Cr 2.56, 2 W 2.62, 2 Re 2.62

---

Number 1: calculated density 6.78 g/cm³. Number 2: calculated density 2.64 g/cm³. Number 3: calculated density 12.50 g/cm³. Number 4: calculated density 6.24 g/cm³. Number 5: calculated density 7.27 g/cm³. Number 6: calculated density 5.52 g/cm³. Number 7: calculated density 5.13 g/cm³. Number 8: calculated density 10.63 g/cm³. Number 9: calculated density 9.21 g/cm³. Number 10: calculated density 5.57 g/cm³. Number 11: calculated density 9.70 g/cm³. Number 12: calculated density 14.72 g/cm³.